Entry 1:
Entry from Alexandria: a geometry-optimized SmGaC structure (PBE).

Properties
The value obtained for the energy relative to the elements is 284 meV per atom. As for the calculated volume: 123.9 Å³/cell.

abc: 3.5416 4.0035 8.9397
angles: 85.49 78.82 89.98
Closest atoms and distances in Å follow each position.
Space group P1 (No. 1)
Inequivalent atoms, fractional coordinates:
1 Sm 0.0000 0.0000 0.0000 [1 per cell]  1 C 2.38
2 Sm 0.3445 0.4089 0.3194 [1 per cell]  1 C 2.38
3 Ga 0.6059 0.5212 0.7900 [1 per cell]  2 C 2.29-2.30
4 Ga 0.7384 0.8886 0.5299 [1 per cell]  2 C 2.29-2.30
5 C 0.1340 0.1868 0.7357 [1 per cell]  1 C 1.33
6 C 0.2103 0.2245 0.5839 [1 per cell]  1 C 1.33

=====

Entry 2:
Entry from Alexandria: a geometry-optimized Tl2AgBr4 structure (PBE).

Properties
As for the calculated volume: 525.7 Å³/cell. The total energy is -35.31 eV/cell.

abc: 5.0803 5.0803 20.3683
angles: 90.00 90.00 90.00
Closest atoms and distances in Å follow each position.
Space group I4/mmm (No. 139)
Inequivalent atoms, fractional coordinates:
1 Tl 0.0000 0.0000 0.1705 [4 per cell]  1 Br 2.99
2 Ag 0.0000 0.0000 0.0000 [2 per cell]  4 Br 2.54
3 Br 0.0000 0.0000 0.3171 [4 per cell]  1 Tl 2.99
4 Br 0.0000 0.5000 0.0000 [4 per cell]  2 Ag 2.54

=====

Entry 3:
Entry from Alexandria: a geometry-optimized Th2Fe3B12Ir structure (PBE).

Properties
The value obtained for the energy relative to the elements is -35 meV per atom. As for the calculated volume: 625.7 Å³/cell.

abc: 5.7589 5.7589 21.7857
angles: 90.00 90.00 120.00
Closest atoms and distances in Å follow each position.
Space group R-3m (No. 166, hexagonal axes)
Inequivalent atoms, fractional coordinates:
1 Th 0.0000 0.0000 0.1322 [6 per cell]  6 B 2.66-2.94
2 Fe 0.0000 0.5000 0.0000 [9 per cell]  6 B 2.11-2.12
3 B 0.0401 0.5200 0.0966 [18 per cell]  2 B 1.71
4 B 0.1032 0.2065 0.7375 [18 per cell]  4 B 1.71-1.78
5 Ir 0.0000 0.0000 0.5000 [3 per cell]  6 B 2.11

=====

Entry 4:
Entry from Alexandria: a geometry-optimized AcZn3Hg structure (PBE).

Properties
The value obtained for the energy relative to the elements is -294 meV per atom. As for the calculated volume: 226.4 Å³/cell.

abc: 6.4373 6.4516 6.3128
angles: 90.00 120.31 90.00
Closest atoms and distances in Å follow each position.
Space group Cm (No. 8)
Inequivalent atoms, fractional coordinates:
1 Ac 0.0000 0.0000 0.0000 [2 per cell]  12 Zn 3.43-3.68, 4 Hg 3.47-3.49
2 Zn 0.0141 0.2491 0.5277 [4 per cell]  2 Zn 2.58, 2 Hg 2.76
3 Zn 0.3742 0.0000 0.7482 [2 per cell]  4 Zn 2.58, 1 Hg 2.69
4 Hg 0.1213 0.5000 0.2422 [2 per cell]  5 Zn 2.69-2.76

=====

Entry 5:
Entry from Alexandria: a geometry-optimized Ti2BN structure (PBE).

Properties
As for the calculated volume: 125.7 Å³/cell. The total energy is -105.71 eV/cell.

abc: 3.0628 3.0628 15.4695
angles: 90.00 90.00 120.00
Closest atoms and distances in Å follow each position.
Space group R-3m (No. 166, hexagonal axes)
Inequivalent atoms, fractional coordinates:
1 Ti 0.0000 0.0000 0.2463 [6 per cell]  3 N 2.15, 3 B 2.22
2 B 0.0000 0.0000 0.0000 [3 per cell]  6 Ti 2.22
3 N 0.0000 0.0000 0.5000 [3 per cell]  6 Ti 2.15

=====

Entry 6:
Entry from Alexandria: a geometry-optimized LiAlCo2 structure (PBE).

Properties
The value obtained for the energy relative to the elements is -79 meV per atom. As for the calculated volume: 46.6 Å³/cell.

abc: 2.9214 3.9410 4.0489
angles: 90.00 90.00 90.00
Closest atoms and distances in Å follow each position.
Space group Pmmm (No. 47)
Inequivalent atoms, fractional coordinates:
1 Li 0.0000 0.0000 0.0000 [1 per cell]  4 Co 2.45, 4 Al 2.50
2 Al 0.5000 0.0000 0.5000 [1 per cell]  4 Co 2.45, 4 Li 2.50
3 Co 0.0000 0.5000 0.5000 [1 per cell]  4 Al 2.45, 4 Co 2.50
4 Co 0.5000 0.5000 0.0000 [1 per cell]  4 Li 2.45, 4 Co 2.50